This record from the Alexandria database describes CsMnCd2F8 after structural relaxation. The functional is PBE+U.

Results
- E: -52.890 eV for the cell shown

Structure (CIF):
```
data_CsMnCd2F8
_chemical_formula_sum 'Cs1 Mn1 Cd2 F8'
_space_group_name_H-M_alt 'P -1'
_space_group_IT_number 2
_space_group_name_Hall '-P 1'
_cell_length_a 5.237
_cell_length_b 5.240
_cell_length_c 7.385
_cell_angle_alpha 83.21
_cell_angle_beta 85.74
_cell_angle_gamma 87.96
loop_
_atom_site_label
_atom_site_type_symbol
_atom_site_fract_x
_atom_site_fract_y
_atom_site_fract_z
_atom_site_occupancy
Cs1 Cs 0.000 0.000 0.000 1
Mn1 Mn 0.000 0.000 0.500 1
Cd1 Cd 0.498 0.497 0.260 1
F1 F 0.129 0.756 0.685 1
F2 F 0.206 0.829 0.331 1
F3 F 0.310 0.284 0.517 1
F4 F 0.452 0.268 0.019 1
```